Record 1
Rb6V3Br14: relaxed, PBE.

Its spin magnetization is 7.0 μB per formula unit. As for the space-group type: P3 (143). The calculation puts the formation energy (no corrections) at -1.300 eV per atom.

Unit cell a=12.4042 b=12.4042 c=6.8129 alpha=90.00 beta=90.00 gamma=120.00
Last column: nearest neighbours and their distance in Å.
Fractional positions:
Rb 0.0173 0.5624 0.0000  6 Br 3.35-3.74
Rb 0.3114 0.1002 0.5172  7 Br 3.37-3.76
Rb 0.4376 0.4549 0.0000  6 Br 3.35-3.74
Rb 0.5451 0.9827 0.0000  6 Br 3.35-3.74
Rb 0.7888 0.6886 0.5172  7 Br 3.37-3.76
Rb 0.8998 0.2112 0.5172  7 Br 3.37-3.76
V 0.0000 0.0000 0.9476  4 Br 2.43
V 0.3333 0.6667 0.4281  4 Br 2.41-2.43
V 0.6667 0.3333 0.2797  6 Br 2.65
Br 0.0000 0.0000 0.3042  1 V 2.43
Br 0.0716 0.8651 0.8141  1 V 2.43
Br 0.1349 0.2064 0.8141  1 V 2.43
Br 0.2016 0.4595 0.3013  1 V 2.41
Br 0.2579 0.7984 0.3013  1 V 2.41
Br 0.3333 0.6667 0.7841  1 V 2.43
Br 0.4648 0.2011 0.0638  1 V 2.65
Br 0.5330 0.4025 0.4926  1 V 2.65
Br 0.5405 0.7421 0.3013  1 V 2.41
Br 0.5975 0.1305 0.4926  1 V 2.65
Br 0.7363 0.5352 0.0638  1 V 2.65
Br 0.7936 0.9284 0.8141  1 V 2.43
Br 0.7989 0.2637 0.0638  1 V 2.65
Br 0.8695 0.4670 0.4926  1 V 2.65

***

Record 2
Cs3Er3SnSe8: relaxed, PBE.

Its spin magnetization is 0.0 μB per formula unit. As for the space-group type: R-3m (166). The calculation puts the formation energy (no corrections) at -1.441 eV per atom.

Unit cell a=9.8214 b=9.8214 c=9.8214 alpha=49.97 beta=49.97 gamma=49.97
Last column: nearest neighbours and their distance in Å.
Fractional positions:
Cs 0.0000 0.5000 0.5000  6 Se 3.62-3.63
Cs 0.5000 0.0000 0.5000  6 Se 3.62-3.63
Cs 0.5000 0.5000 0.0000  6 Se 3.62-3.63
Er 0.0000 0.0000 0.5000  6 Se 2.86-2.88
Er 0.0000 0.5000 0.0000  6 Se 2.86-2.88
Er 0.5000 0.0000 0.0000  6 Se 2.86-2.88
Sn 0.5000 0.5000 0.5000  6 Se 2.80
Se 0.2275 0.2275 0.2275  3 Er 2.86
Se 0.2357 0.7222 0.7222  1 Sn 2.80, 2 Er 2.88
Se 0.2778 0.2778 0.7643  1 Sn 2.80, 2 Er 2.88
Se 0.2778 0.7643 0.2778  1 Sn 2.80, 2 Er 2.88
Se 0.7222 0.2357 0.7222  1 Sn 2.80, 2 Er 2.88
Se 0.7222 0.7222 0.2357  1 Sn 2.80, 2 Er 2.88
Se 0.7643 0.2778 0.2778  1 Sn 2.80, 2 Er 2.88
Se 0.7725 0.7725 0.7725  3 Er 2.86

***

Record 3
ErSc2InHg4: relaxed, PBE.

Its spin magnetization is 0.0 μB per formula unit. As for the formation energy from the elements: -0.34 eV/atom. As for the space-group type: R-3m (166).

Unit cell a=8.9604 b=8.9604 c=8.9604 alpha=32.53 beta=32.53 gamma=32.53
Last column: nearest neighbours and their distance in Å.
Fractional positions:
Er 0.0000 0.0000 0.0000  8 Hg 3.05-3.08
Sc 0.2439 0.2439 0.2439  8 Hg 3.01-3.21
Sc 0.7561 0.7561 0.7561  8 Hg 3.01-3.21
In 0.5000 0.5000 0.5000  8 Hg 3.12-3.30
Hg 0.1211 0.1211 0.1211  4 Sc 3.01-3.12, 1 Er 3.08, 3 In 3.12
Hg 0.3702 0.3702 0.3702  3 Er 3.05, 4 Sc 3.19-3.21, 1 In 3.30
Hg 0.6298 0.6298 0.6298  3 Er 3.05, 4 Sc 3.19-3.21, 1 In 3.30
Hg 0.8789 0.8789 0.8789  4 Sc 3.01-3.12, 1 Er 3.08, 3 In 3.12

***

Record 4
ScCu2ReOs: relaxed, PBE.

Its spin magnetization is 2.4 μB per formula unit. As for the formation energy from the elements: 1.80 eV/atom. As for the space-group type: P4/mmm (123).

Unit cell a=4.6001 b=4.6001 c=4.7774 alpha=90.00 beta=90.00 gamma=90.00
Last column: nearest neighbours and their distance in Å.
Fractional positions:
Sc 0.0000 0.0000 0.0000  2 Re 2.39
Cu 0.0000 0.5000 0.5000  2 Re 2.30
Cu 0.5000 0.0000 0.5000  2 Re 2.30
Re 0.0000 0.0000 0.5000  4 Cu 2.30, 2 Sc 2.39
Os 0.5000 0.5000 0.0000  4 Sc 3.25, 8 Cu 3.32

***

Record 5
RbAcC2O6: relaxed, PBE.

Its spin magnetization is 0.0 μB per formula unit. As for the space-group type: C2/c (15). The calculation puts the formation energy (no corrections) at -2.165 eV per atom.

Unit cell a=6.8837 b=6.8837 c=7.5675 alpha=104.85 beta=104.85 gamma=96.31
Last column: nearest neighbours and their distance in Å.
Fractional positions:
Rb 0.1248 0.8752 0.7500  8 O 2.98-3.31
Rb 0.8752 0.1248 0.2500  8 O 2.98-3.31
Ac 0.3940 0.6060 0.2500  8 O 2.51-2.73
Ac 0.6060 0.3940 0.7500  8 O 2.51-2.73
C 0.1495 0.3837 0.7387  3 O 1.29-1.32
C 0.3837 0.1495 0.2387  3 O 1.29-1.32
C 0.6163 0.8505 0.7613  3 O 1.29-1.32
C 0.8505 0.6163 0.2613  3 O 1.29-1.32
O 0.0403 0.6063 0.2836  1 C 1.29
O 0.2083 0.2481 0.6206  1 C 1.29
O 0.2481 0.2083 0.1206  1 C 1.29
O 0.2927 0.5172 0.8830  1 C 1.32
O 0.3937 0.9597 0.2164  1 C 1.29
O 0.4828 0.7073 0.6170  1 C 1.32
O 0.5172 0.2927 0.3830  1 C 1.32
O 0.6063 0.0403 0.7836  1 C 1.29
O 0.7073 0.4828 0.1170  1 C 1.32
O 0.7519 0.7917 0.8794  1 C 1.29
O 0.7917 0.7519 0.3794  1 C 1.29
O 0.9597 0.3937 0.7164  1 C 1.29

***

Record 6
LiPm5Cd6: relaxed, PBE.

Its spin magnetization is 0.9 μB per formula unit. As for the formation energy from the elements: -0.29 eV/atom. As for the space-group type: Immm (71).

Unit cell a=9.2224 b=9.2224 c=9.2224 alpha=146.51 beta=131.42 gamma=60.29
Last column: nearest neighbours and their distance in Å.
Fractional positions:
Li 0.0000 0.0000 0.0000  8 Cd 3.03-3.15
Pm 0.1735 0.6735 0.5000  8 Cd 3.19-3.41
Pm 0.3353 0.3353 0.0000  8 Cd 3.36, 4 Pm 3.70-3.74
Pm 0.5000 0.0000 0.5000  8 Cd 3.21-3.38
Pm 0.6647 0.6647 0.0000  8 Cd 3.36, 4 Pm 3.70-3.74
Pm 0.8265 0.3265 0.5000  8 Cd 3.19-3.41
Cd 0.0746 0.8448 0.2298  1 Li 3.03, 6 Pm 3.19-3.36
Cd 0.2237 0.5000 0.7237  2 Li 3.15, 6 Pm 3.25-3.38, 1 Cd 3.39
Cd 0.3851 0.1552 0.2298  1 Li 3.03, 6 Pm 3.19-3.36
Cd 0.6149 0.8448 0.7702  1 Li 3.03, 6 Pm 3.19-3.36
Cd 0.7763 0.5000 0.2763  2 Li 3.15, 6 Pm 3.25-3.38, 1 Cd 3.39
Cd 0.9254 0.1552 0.7702  1 Li 3.03, 6 Pm 3.19-3.36

***

Record 7
Ho3CuN: relaxed, PBE.

Its spin magnetization is 0.0 μB per formula unit. As for the space-group type: Pm-3m (221). The calculation puts the formation energy (no corrections) at -0.650 eV per atom.

Unit cell a=4.7117 b=4.7117 c=4.7117 alpha=90.00 beta=90.00 gamma=90.00
Last column: nearest neighbours and their distance in Å.
Fractional positions:
Ho 0.0000 0.0000 0.5000  2 N 2.36
Ho 0.0000 0.5000 0.0000  2 N 2.36
Ho 0.5000 0.0000 0.0000  2 N 2.36
Cu 0.5000 0.5000 0.5000  12 Ho 3.33
N 0.0000 0.0000 0.0000  6 Ho 2.36

***

Record 8
Tm6CdTc: relaxed, PBE.

Its spin magnetization is 0.0 μB per formula unit. As for the formation energy from the elements: 0.15 eV/atom. As for the space-group type: P-1 (2).

Unit cell a=6.7041 b=6.7320 c=7.4202 alpha=90.29 beta=116.54 gamma=119.86
Last column: nearest neighbours and their distance in Å.
Fractional positions:
Tm 0.0397 0.0803 0.2603  1 Tc 2.65
Tm 0.3013 0.7204 0.2600  1 Tc 2.65
Tm 0.3171 0.5392 0.7402  1 Tc 2.65
Tm 0.6829 0.4608 0.2598  1 Tc 2.65
Tm 0.6987 0.2796 0.7400  1 Tc 2.65
Tm 0.9603 0.9197 0.7397  1 Tc 2.65
Cd 0.5000 0.0000 0.0000  6 Tm 2.98-2.99
Tc 0.5000 0.5000 0.5000  6 Tm 2.65

***

Record 9
Sm3Zn9Hg2: relaxed, PBE.

Its spin magnetization is 0.0 μB per formula unit. As for the formation energy from the elements: -0.31 eV/atom. As for the space-group type: Immm (71).

Unit cell a=8.4284 b=8.4284 c=8.4284 alpha=148.97 beta=115.27 gamma=73.52
Last column: nearest neighbours and their distance in Å.
Fractional positions:
Sm 0.0000 0.0000 0.0000  12 Zn 3.17-3.40
Sm 0.2963 0.2963 0.0000  12 Zn 3.12-3.32, 2 Hg 3.26
Sm 0.7037 0.7037 0.0000  12 Zn 3.12-3.32, 2 Hg 3.26
Zn 0.0290 0.6652 0.3638  4 Zn 2.46-2.68, 1 Hg 2.70
Zn 0.1313 0.8551 0.2763  4 Zn 2.60-2.81
Zn 0.3014 0.6652 0.6362  4 Zn 2.46-2.68, 1 Hg 2.70
Zn 0.4212 0.1449 0.2763  4 Zn 2.60-2.81
Zn 0.5000 0.0000 0.5000  4 Zn 2.81, 4 Hg 2.86
Zn 0.5788 0.8551 0.7237  4 Zn 2.60-2.81
Zn 0.6986 0.3348 0.3638  4 Zn 2.46-2.68, 1 Hg 2.70
Zn 0.8687 0.1449 0.7237  4 Zn 2.60-2.81
Zn 0.9710 0.3348 0.6362  4 Zn 2.46-2.68, 1 Hg 2.70
Hg 0.3056 0.5000 0.8056  8 Zn 2.70-3.00
Hg 0.6944 0.5000 0.1944  8 Zn 2.70-3.00

***

Record 10
BaPRu2: relaxed, PBE.

Its spin magnetization is 0.4 μB per formula unit. As for the formation energy from the elements: 0.79 eV/atom. As for the space-group type: P4/mmm (123).

Unit cell a=4.4482 b=4.4482 c=3.7091 alpha=90.00 beta=90.00 gamma=90.00
Last column: nearest neighbours and their distance in Å.
Fractional positions:
Ba 0.0000 0.0000 0.0000  8 Ru 2.90, 4 P 3.15
P 0.5000 0.5000 0.0000  8 Ru 2.90, 4 Ba 3.15
Ru 0.0000 0.5000 0.5000  4 P 2.90, 4 Ba 2.90, 4 Ru 3.15
Ru 0.5000 0.0000 0.5000  4 P 2.90, 4 Ba 2.90, 4 Ru 3.15

***

Record 11
Ba2Cu2TcO6: relaxed, PBE.

Its spin magnetization is 1.0 μB per formula unit. As for the space-group type: R-3m (166). The calculation puts the formation energy (no corrections) at -1.630 eV per atom.

Unit cell a=6.2858 b=6.2858 c=6.2858 alpha=56.56 beta=56.56 gamma=56.56
Last column: nearest neighbours and their distance in Å.
Fractional positions:
Ba 0.2241 0.2241 0.2241  9 O 2.80-3.03, 1 Cu 3.05
Ba 0.7759 0.7759 0.7759  9 O 2.80-3.03, 1 Cu 3.05
Cu 0.4172 0.4172 0.4172  3 O 1.89
Cu 0.5828 0.5828 0.5828  3 O 1.89
Tc 0.0000 0.0000 0.0000  6 O 1.97
O 0.2249 0.7727 0.7727  1 Cu 1.89, 1 Tc 1.97
O 0.2273 0.2273 0.7751  1 Cu 1.89, 1 Tc 1.97
O 0.2273 0.7751 0.2273  1 Cu 1.89, 1 Tc 1.97
O 0.7727 0.2249 0.7727  1 Cu 1.89, 1 Tc 1.97
O 0.7727 0.7727 0.2249  1 Cu 1.89, 1 Tc 1.97
O 0.7751 0.2273 0.2273  1 Cu 1.89, 1 Tc 1.97

***

Record 12
KCa2Cr: relaxed, PBE.

As for the relative energy among the computed polymorphs: 146 meV per atom. Its spin magnetization is 4.7 μB per formula unit. As for the formation energy from the elements: 0.57 eV/atom. As for the space-group type: Imm2 (44).

Unit cell a=7.2986 b=7.2986 c=7.2986 alpha=148.10 beta=131.26 gamma=59.44
Last column: nearest neighbours and their distance in Å.
Fractional positions:
K 0.0000 0.0000 0.0000  2 Cr 3.50, 4 Ca 3.76
Ca 0.4186 0.4186 0.0000  2 Cr 3.15
Ca 0.7099 0.2099 0.5000  4 Cr 3.62, 4 Ca 4.01, 2 K 4.02
Cr 0.2265 0.7265 0.5000  2 Ca 3.15, 2 K 3.50

***

no.,calculated volume (A^3/atom)
1,39.470
2,34.082
3,23.118
4,20.219
5,16.454
6,26.796
7,20.920
8,31.054
9,19.623
10,18.348
11,14.696
12,38.286